(1)
Crystalline Ac2CePdO6 at its relaxed geometry, computed with PBE-GGA.

a = 5.524 Å, b = 5.524 Å, c = 5.947 Å
α = 90.00°, β = 90.00°, γ = 90.00°
Space group P4mm (No. 99)
One atom of each set of equivalent atoms:
Ac1 0.000 0.500 0.000 (multiplicity 2)
Ce1 0.000 0.000 0.547 (multiplicity 1)
Pd1 0.500 0.500 0.681 (multiplicity 1)
O1 0.000 0.000 0.171 (multiplicity 1)
O2 0.244 0.244 0.726 (multiplicity 4)
O3 0.500 0.500 0.125 (multiplicity 1)

Volume = 18.147 Å³/atom
ΔE_f (raw) = -2.523 eV per atom
Crystal system = tetragonal

---

(2)
Crystalline AcCe2PdO8 at its relaxed geometry, computed with PBE-GGA.

a = 4.256 Å, b = 7.305 Å, c = 5.425 Å
α = 90.00°, β = 95.70°, γ = 90.00°
Space group P2/m (No. 10)
One atom of each set of equivalent atoms:
Ac1 0.000 0.000 0.000 (multiplicity 1)
Ce1 0.500 0.259 0.500 (multiplicity 2)
Pd1 0.000 0.500 0.000 (multiplicity 1)
O1 0.044 0.288 0.751 (multiplicity 4)
O2 0.413 0.500 0.238 (multiplicity 2)
O3 0.491 0.000 0.734 (multiplicity 2)

Volume = 13.986 Å³/atom
ΔE_f (raw) = -2.324 eV per atom
Crystal system = monoclinic

---

(3)
Crystalline Ac2CePmO6 at its relaxed geometry, computed with PBE-GGA.

a = 6.160 Å, b = 6.357 Å, c = 10.883 Å
α = 90.00°, β = 124.40°, γ = 90.00°
Space group P2_1/c (No. 14)
One atom of each set of equivalent atoms:
Ac1 0.231 0.048 0.248 (multiplicity 4)
Ce1 0.000 0.000 0.500 (multiplicity 2)
Pm1 0.500 0.000 0.000 (multiplicity 2)
O1 0.124 0.196 0.929 (multiplicity 4)
O2 0.227 0.699 0.924 (multiplicity 4)
O3 0.386 0.066 0.752 (multiplicity 4)

Volume = 17.581 Å³/atom
ΔE_f (raw) = -3.296 eV per atom
Crystal system = monoclinic

---

(4)
Crystalline AcCe2PtO8 at its relaxed geometry, computed with PBE-GGA.

a = 4.294 Å, b = 7.308 Å, c = 5.398 Å
α = 90.00°, β = 95.16°, γ = 90.00°
Space group P2/m (No. 10)
One atom of each set of equivalent atoms:
Ac1 0.000 0.000 0.000 (multiplicity 1)
Ce1 0.500 0.259 0.500 (multiplicity 2)
Pt1 0.000 0.500 0.000 (multiplicity 1)
O1 0.057 0.291 0.756 (multiplicity 4)
O2 0.401 0.500 0.239 (multiplicity 2)
O3 0.498 0.000 0.735 (multiplicity 2)

Volume = 14.059 Å³/atom
ΔE_f (raw) = -2.397 eV per atom
Crystal system = monoclinic

---

(5)
Crystalline AcCePt2O8 at its relaxed geometry, computed with PBE-GGA.

a = 6.0515 Å, b = 6.0515 Å, c = 7.3338 Å
α = 90.00°, β = 90.00°, γ = 120.00°
Space group P-3m1 (No. 164)
One atom of each set of equivalent atoms:
Ac1 0.0000 0.0000 0.0000 (multiplicity 1)
Ce1 0.0000 0.0000 0.5000 (multiplicity 1)
Pt1 0.3333 0.6667 0.7745 (multiplicity 2)
O1 0.1505 0.3011 0.7184 (multiplicity 6)
O2 0.3333 0.6667 0.0297 (multiplicity 2)

Volume = 19.382 Å³/atom
ΔE_f (raw) = -1.238 eV per atom
Crystal system = trigonal

---

(6)
Crystalline AcCe2PuO8 at its relaxed geometry, computed with PBE-GGA.

a = 4.050 Å, b = 6.653 Å, c = 7.042 Å
α = 90.79°, β = 104.41°, γ = 96.01°
Space group P-1 (No. 2)
One atom of each set of equivalent atoms:
Ac1 0.000 0.000 0.000 (multiplicity 1)
Ce1 0.359 0.445 0.734 (multiplicity 2)
Pu1 0.500 0.000 0.500 (multiplicity 1)
O1 0.132 0.139 0.368 (multiplicity 2)
O2 0.236 0.632 0.425 (multiplicity 2)
O3 0.277 0.366 0.047 (multiplicity 2)
O4 0.453 0.112 0.792 (multiplicity 2)

Volume = 15.217 Å³/atom
ΔE_f (raw) = -3.099 eV per atom
Crystal system = triclinic

---

(7)
Crystalline AcCePuO6 at its relaxed geometry, computed with PBE-GGA.

a = 5.9579 Å, b = 5.9579 Å, c = 10.1004 Å
α = 90.00°, β = 90.00°, γ = 120.00°
Space group P-31c (No. 163)
One atom of each set of equivalent atoms:
Ac1 0.0000 0.0000 0.0000 (multiplicity 2)
Ce1 0.3333 0.6667 0.2500 (multiplicity 2)
Pu1 0.3333 0.6667 0.7500 (multiplicity 2)
O1 0.0172 0.3679 0.6411 (multiplicity 12)

Volume = 17.250 Å³/atom
ΔE_f (raw) = -3.131 eV per atom
Crystal system = trigonal

---

(8)
Crystalline Rb2AcCe2O7 at its relaxed geometry, computed with PBE-GGA.

a = 4.385 Å, b = 4.385 Å, c = 23.546 Å
α = 90.00°, β = 90.00°, γ = 90.00°
Space group I4/mmm (No. 139)
One atom of each set of equivalent atoms:
Rb1 0.000 0.000 0.195 (multiplicity 4)
Ac1 0.000 0.000 0.000 (multiplicity 2)
Ce1 0.000 0.000 0.404 (multiplicity 4)
O1 0.000 0.000 0.316 (multiplicity 4)
O2 0.000 0.000 0.500 (multiplicity 2)
O3 0.000 0.500 0.074 (multiplicity 8)

Volume = 18.866 Å³/atom
ΔE_f (raw) = -2.686 eV per atom
Crystal system = tetragonal

---

(9)
Crystalline Rb3Ac2CeO6 at its relaxed geometry, computed with PBE-GGA.

a = 6.621 Å, b = 11.472 Å, c = 7.008 Å
α = 90.00°, β = 108.30°, γ = 90.00°
Space group C2/m (No. 12)
One atom of each set of equivalent atoms:
Rb1 0.000 0.000 0.000 (multiplicity 2)
Rb2 0.000 0.337 0.000 (multiplicity 4)
Ac1 0.000 0.167 0.500 (multiplicity 4)
Ce1 0.000 0.500 0.500 (multiplicity 2)
O1 0.220 0.341 0.681 (multiplicity 8)
O2 0.241 0.000 0.681 (multiplicity 4)

Volume = 21.059 Å³/atom
ΔE_f (raw) = -2.526 eV per atom
Crystal system = monoclinic

---

(10)
Crystalline Rb2AcCeO4 at its relaxed geometry, computed with PBE-GGA.

a = 6.570 Å, b = 3.786 Å, c = 6.993 Å
α = 90.00°, β = 108.36°, γ = 90.00°
Space group P2/m (No. 10)
One atom of each set of equivalent atoms:
Rb1 0.000 0.000 0.000 (multiplicity 1)
Rb2 0.500 0.500 0.000 (multiplicity 1)
Ac1 0.000 0.500 0.500 (multiplicity 1)
Ce1 0.500 0.000 0.500 (multiplicity 1)
O1 0.241 0.000 0.680 (multiplicity 2)
O2 0.285 0.500 0.321 (multiplicity 2)

Volume = 20.633 Å³/atom
ΔE_f (raw) = -2.520 eV per atom
Crystal system = monoclinic

---

(11)
Crystalline Rb2Ac2CeO6 at its relaxed geometry, computed with PBE-GGA.

a = 6.574 Å, b = 11.307 Å, c = 6.987 Å
α = 90.00°, β = 106.11°, γ = 90.00°
Space group C2/m (No. 12)
One atom of each set of equivalent atoms:
Rb1 0.000 0.161 0.000 (multiplicity 4)
Ac1 0.000 0.335 0.500 (multiplicity 4)
Ce1 0.000 0.000 0.500 (multiplicity 2)
O1 0.201 0.159 0.666 (multiplicity 8)
O2 0.243 0.000 0.329 (multiplicity 4)

Volume = 22.679 Å³/atom
ΔE_f (raw) = -2.763 eV per atom
Crystal system = monoclinic

---

(12)
Crystalline AcCeReO6 at its relaxed geometry, computed with PBE-GGA.

a = 5.8544 Å, b = 5.8544 Å, c = 9.1764 Å
α = 90.00°, β = 90.00°, γ = 120.00°
Space group P-31c (No. 163)
One atom of each set of equivalent atoms:
Ac1 0.3333 0.6667 0.2500 (multiplicity 2)
Ce1 0.0000 0.0000 0.0000 (multiplicity 2)
Re1 0.3333 0.6667 0.7500 (multiplicity 2)
O1 0.0708 0.3756 0.6293 (multiplicity 12)

Volume = 15.132 Å³/atom
ΔE_f (raw) = -2.555 eV per atom
Crystal system = trigonal